Below is a relaxed Y2TcGe2 crystal, with properties calculated at the GGA-PBE level.

- formation enthalpy at 0 K (eV/atom) = -0.7017
- symmetry = C2/m, No. 12
- ΔE to the lowest computed polymorph (kJ/mol of formula units) = 0
- ρ (g/cm3) = 6.593
- energy (eV/atom) = -7.207

POSCAR file:
```
Y2TcGe2
1.0
4.1359 0.0000 0.9802
2.0929 5.5049 0.3850
-0.0249 -0.4614 9.3206
Y Tc Ge
4 2 4
Direct
0.6721 0.3309 0.3250
0.9261 0.2591 0.8888
0.3279 0.6691 0.6750
0.0739 0.7409 0.1112
0.6434 0.0820 0.6313
0.3566 0.9180 0.3687
0.0796 0.2772 0.5635
0.6317 0.8602 0.8764
0.9204 0.7228 0.4365
0.3683 0.1398 0.1236
```